1.
Compound: CsMgBi2
Source: the Alexandria database
Functional: GGA-PBE
Structure: relaxed

```
CsMgBi2
1.0
5.4244 0.0000 0.0000
2.7122 4.6976 0.0000
2.7122 1.5659 7.0500
Cs Mg Bi
1 1 2
Direct
0.5000 0.5000 0.5000
0.0000 0.0000 0.0000
0.3064 0.3064 0.0807
0.6936 0.6936 0.9193
```

Computed properties:
DFT formation energy ... -15 kJ/mol of atoms
Space-group type ... R-3m
Total magnetic moment ... 0.000 μB/f.u.



2.
Compound: Cs2MgBi
Source: the Alexandria database
Functional: GGA-PBE
Structure: relaxed

```
Cs2MgBi
1.0
4.5126 -3.5274 3.1581
2.2013 1.9752 5.8337
-1.6274 -3.3099 5.4014
Cs Mg Bi
2 1 1
Direct
0.2500 0.2500 0.2500
0.7500 0.7500 0.7500
0.0000 0.0000 0.0000
0.5000 0.5000 0.5000
```

Computed properties:
DFT formation energy ... 4 kJ/mol of atoms
Space-group type ... Fm-3m
Total magnetic moment ... 0.000 μB/f.u.
Energy above the lowest structure with this stoichiometry ... 0.0000 eV per atom



3.
Compound: Cs3Mg2Bi2
Source: the Alexandria database
Functional: GGA-PBE
Structure: relaxed

```
Cs3Mg2Bi2
1.0
-4.9956 3.8653 4.3836
5.8839 -2.1027 8.5594
8.2946 13.4417 -2.3999
Bi Mg Cs
8 8 12
Direct
0.7798 0.0637 0.7500
0.5912 0.7500 0.0000
0.2202 0.9363 0.2500
0.5912 0.7500 0.5000
0.2202 0.5637 0.7500
0.4088 0.2500 0.0000
0.7798 0.4363 0.2500
0.4088 0.2500 0.5000
0.3955 0.5184 0.5843
0.6045 0.4816 0.0843
0.6045 0.4816 0.4157
0.6045 0.0184 0.5843
0.3955 0.5184 0.9157
0.6045 0.0184 0.9157
0.3955 0.9816 0.0843
0.3955 0.9816 0.4157
0.1022 0.6407 0.3903
0.6858 0.7914 0.2500
0.8978 0.3593 0.6097
0.1022 0.6407 0.1097
0.3142 0.2086 0.7500
0.3142 0.2914 0.2500
0.1022 0.8593 0.8903
0.1022 0.8593 0.6097
0.8978 0.3593 0.8903
0.6858 0.7086 0.7500
0.8978 0.1407 0.3903
0.8978 0.1407 0.1097
```

Computed properties:
DFT formation energy ... -27 kJ/mol of atoms
Space-group type ... Pbcm
Total magnetic moment ... 0.000 μB/f.u.



4.
Compound: CsMgBi2Mo
Source: the Alexandria database
Functional: GGA-PBE
Structure: relaxed

```
CsMgBi2Mo
1.0
-2.1042 1.1777 -5.0694
-5.5681 -1.5065 1.9613
-0.8744 5.3103 1.5966
Cs Bi Mg Mo
1 2 1 1
Direct
0.0000 0.5000 0.0000
0.0000 0.0000 0.5000
0.5000 0.0000 0.0000
0.0000 0.0000 0.0000
0.5000 0.5000 0.5000
```

Computed properties:
DFT formation energy ... 108 kJ/mol of atoms
Space-group type ... P4/mmm
Total magnetic moment ... 4.765 μB/f.u.



5.
Compound: CsNa2MgBi
Source: the Alexandria database
Functional: GGA-PBE
Structure: relaxed

```
CsNa2MgBi
1.0
6.1916 0.0000 0.0000
0.0000 6.1916 0.0000
0.0000 0.0000 6.0460
Bi Na Mg Cs
1 2 1 1
Direct
0.0000 0.0000 0.0000
0.0000 0.5000 0.0000
0.5000 0.0000 0.0000
0.0000 0.0000 0.5000
0.5000 0.5000 0.5000
```

Computed properties:
DFT formation energy ... -8 kJ/mol of atoms
Space-group type ... P4/mmm
Total magnetic moment ... 0.000 μB/f.u.



6.
Compound: Cs2MgBiOs
Source: the Alexandria database
Functional: GGA-PBE
Structure: relaxed

```
Cs2MgBiOs
1.0
5.8129 0.0000 0.0000
0.0000 5.3580 0.0000
0.0000 0.0000 5.8129
Cs Bi Mg Os
2 1 1 1
Direct
0.0000 0.0000 0.5000
0.5000 0.0000 0.0000
0.5000 0.5000 0.5000
0.0000 0.5000 0.0000
0.0000 0.0000 0.0000
```

Computed properties:
DFT formation energy ... 101 kJ/mol of atoms
Space-group type ... P4/mmm
Total magnetic moment ... 1.131 μB/f.u.



7.
Compound: CsMgBi3Pb
Source: the Alexandria database
Functional: GGA-PBE
Structure: relaxed

```
CsMgBi3Pb
1.0
-3.8981 3.4142 1.1285
-2.0094 -2.9353 -10.5220
-4.5168 -5.9947 2.5349
Bi Pb Mg Cs
6 2 2 2
Direct
0.8729 0.7458 0.2500
0.6088 0.2176 0.0199
0.6088 0.2176 0.4801
0.1271 0.2542 0.7500
0.3912 0.7824 0.5199
0.3912 0.7824 0.9801
0.0000 0.0000 0.5000
0.0000 0.0000 0.0000
0.5085 0.0169 0.7500
0.4915 0.9831 0.2500
0.2208 0.4416 0.2500
0.7792 0.5584 0.7500
```

Computed properties:
DFT formation energy ... -15 kJ/mol of atoms
Space-group type ... Cmcm
Total magnetic moment ... 0.000 μB/f.u.



8.
Compound: Cs2MgBi3Pb4
Source: the Alexandria database
Functional: GGA-PBE
Structure: relaxed

```
Cs2MgBi3Pb4
1.0
-0.7823 5.3699 0.5805
-2.3818 -0.8694 4.8327
11.9355 1.0819 6.0771
Bi Pb Cs Mg
3 4 2 1
Direct
0.5000 0.0000 0.8621
0.0000 0.5000 0.1379
0.0000 0.0000 0.5000
0.0000 0.5000 0.3790
0.0000 0.0000 0.0000
0.5000 0.0000 0.6210
0.5000 0.5000 0.0000
0.0000 0.5000 0.7418
0.5000 0.0000 0.2582
0.5000 0.5000 0.5000
```

Computed properties:
DFT formation energy ... -15 kJ/mol of atoms
Space-group type ... P-4m2
Total magnetic moment ... 0.000 μB/f.u.